VASP calculation (PBE) on a geometry-optimized Ca2TmPd structure.

Results
Space group: No. 166
Calculated total energy (eV/atom): -3.227

a b c (Å): 3.496 3.496 11.533
angles (deg): 81.28 81.28 60.00
Element x y z (fractional)
Ca 0.077 0.077 0.769
Ca 0.923 0.923 0.231
Tm 0.500 0.500 0.500
Pd 0.000 0.000 0.000